Entry 1:
VASP calculation (PBE) on crystalline SrRh2 at its relaxed geometry.

The structure in POSCAR format:
```
SrRh2
1.0
-3.343 5.407 -2.307
-3.725 -4.002 -3.980
-4.548 -0.697 4.956
Rh Sr
8 4
direct
0.104 0.604 0.104
0.604 0.896 0.896
0.396 0.104 0.104
0.104 0.896 0.604
0.896 0.104 0.396
0.896 0.396 0.896
0.604 0.604 0.396
0.396 0.396 0.604
0.000 0.000 0.000
0.000 0.500 0.500
0.500 0.500 0.000
0.500 0.000 0.500
```

Calculated values
As for the uncorrected energy: -4.42 eV per atom. The space group is No. 205.



Entry 2:
VASP calculation (PBE) on crystalline CaAcPdPt at its relaxed geometry.

The structure in POSCAR format:
```
CaAcPdPt
1.0
5.183 0.000 0.000
2.591 4.488 0.000
2.591 1.496 4.232
Pt Pd Ac Ca
1 1 1 1
direct
0.750 0.750 0.750
0.250 0.250 0.250
0.500 0.500 0.500
0.000 0.000 0.000
```

Calculated values
The energy above the most stable polymorph in this dataset comes out at 58 meV per atom. As for the uncorrected energy: -5.19 eV per atom. The space group is No. 216.



Entry 3:
VASP calculation (PBE) on crystalline MnCuSi2 at its relaxed geometry.

The structure in POSCAR format:
```
MnCuSi2
1.0
-0.293 -0.398 4.409
2.126 -1.561 0.001
2.445 3.332 0.463
Mn Si Cu
1 2 1
direct
0.500 0.875 0.746
0.500 0.375 0.240
0.000 0.875 0.004
0.000 0.375 0.510
```

Calculated values
As for the uncorrected energy: -6.11 eV per atom. The value obtained for the uncorrected formation energy is -0.0868 eV/atom. The space group is No. 25.



Entry 4:
VASP calculation (PBE) on crystalline Ba2CeTmS6 at its relaxed geometry.

The structure in POSCAR format:
```
Ba2CeTmS6
1.0
-1.403 6.953 1.340
-5.332 -2.030 4.947
7.103 -0.113 7.610
Ba S Ce Tm
4 12 2 2
direct
0.520 0.563 0.750
0.980 0.063 0.750
0.480 0.437 0.250
0.020 0.937 0.250
0.295 0.707 0.044
0.705 0.293 0.956
0.916 0.520 0.248
0.584 0.020 0.252
0.202 0.208 0.044
0.798 0.792 0.956
0.298 0.708 0.456
0.795 0.793 0.544
0.702 0.292 0.544
0.416 0.980 0.748
0.084 0.480 0.752
0.205 0.207 0.456
0.000 0.500 0.500
0.500 0.000 0.000
0.000 0.500 0.000
0.500 0.000 0.500
```

Calculated values
As for the uncorrected energy: -5.73 eV per atom. The value obtained for the uncorrected formation energy is -1.8261 eV/atom. The space group is No. 14.



Entry 5:
VASP calculation (PBE) on crystalline TbTeI at its relaxed geometry.

The structure in POSCAR format:
```
TbTeI
1.0
4.264 0.000 0.000
2.132 9.263 -0.995
2.132 0.851 7.191
Tb Te I
2 2 2
direct
0.127 0.177 0.570
0.873 0.823 0.430
0.800 0.120 0.279
0.200 0.880 0.721
0.437 0.355 0.772
0.563 0.645 0.228
```

Calculated values
The energy above the most stable polymorph in this dataset comes out at 139 meV per atom. As for the uncorrected energy: -4.38 eV per atom. The value obtained for the uncorrected formation energy is -1.2757 eV/atom. The space group is No. 12.



Entry 6:
VASP calculation (PBE) on crystalline TiGeCl3 at its relaxed geometry.

The structure in POSCAR format:
```
TiGeCl3
1.0
-0.639 4.016 -2.665
-4.512 0.447 1.756
1.696 2.704 3.668
Ge Cl Ti
1 3 1
direct
0.500 0.500 0.500
0.500 0.000 0.000
0.000 0.000 0.500
0.000 0.500 0.000
0.000 0.000 0.000
```

Calculated values
As for the uncorrected energy: -4.13 eV per atom. The value obtained for the uncorrected formation energy is -0.5211 eV/atom. The space group is No. 221.



Entry 7:
VASP calculation (PBE) on crystalline Ca2TcBr at its relaxed geometry.

The structure in POSCAR format:
```
Ca2TcBr
1.0
0.000 3.705 3.705
3.705 0.000 3.705
3.705 3.705 0.000
Ca Br Tc
2 1 1
direct
0.750 0.750 0.750
0.250 0.250 0.250
0.000 0.000 0.000
0.500 0.500 0.500
```

Calculated values
The energy above the most stable polymorph in this dataset comes out at 451 meV per atom. As for the uncorrected energy: -3.81 eV per atom. The value obtained for the uncorrected formation energy is 0.2035 eV/atom. The space group is No. 225.



Entry 8:
VASP calculation (PBE) on crystalline NaAc2Ru at its relaxed geometry.

The structure in POSCAR format:
```
NaAc2Ru
1.0
4.370 0.000 0.000
0.000 6.104 -2.479
0.000 -0.331 11.212
Ac Na Ru
4 2 2
direct
0.250 0.473 0.135
0.250 0.966 0.800
0.750 0.034 0.200
0.750 0.527 0.865
0.250 0.280 0.529
0.750 0.720 0.471
0.250 0.839 0.025
0.750 0.161 0.975
```

Calculated values
As for the uncorrected energy: -4.81 eV per atom. The space group is No. 11.



Entry 9:
VASP calculation (PBE) on crystalline YAg at its relaxed geometry.

The structure in POSCAR format:
```
YAg
1.0
3.722 0.000 0.000
1.861 5.561 0.000
0.000 0.000 4.825
Ag Y
2 2
direct
0.420 0.160 0.750
0.580 0.840 0.250
0.143 0.714 0.750
0.857 0.286 0.250
```

Calculated values
As for the uncorrected energy: -4.96 eV per atom. The space group is No. 63.



Entry 10:
VASP calculation (PBE) on crystalline TaHS2 at its relaxed geometry.

The structure in POSCAR format:
```
TaHS2
1.0
1.945 0.000 6.368
-0.973 1.685 6.368
-0.973 -1.685 6.368
S Ta H
2 1 1
direct
0.914 0.914 0.914
0.086 0.086 0.086
0.500 0.500 0.500
0.000 0.000 0.000
```

Calculated values
The energy above the most stable polymorph in this dataset comes out at 291 meV per atom. As for the uncorrected energy: -6.45 eV per atom. The space group is No. 166.



Entry 11:
VASP calculation (PBE) on crystalline KRbZn at its relaxed geometry.

The structure in POSCAR format:
```
KRbZn
1.0
8.610 0.000 0.000
-4.305 7.865 0.000
0.000 0.000 9.560
Rb Zn K
4 4 4
direct
0.198 0.395 0.612
0.698 0.395 0.888
0.302 0.605 0.112
0.802 0.605 0.388
0.421 0.843 0.458
0.079 0.157 0.958
0.921 0.843 0.042
0.579 0.157 0.542
0.795 0.091 0.250
0.295 0.091 0.250
0.205 0.909 0.750
0.705 0.909 0.750
```

Calculated values
The energy above the most stable polymorph in this dataset comes out at 0 meV per atom. As for the uncorrected energy: -1.01 eV per atom. The space group is No. 64.



Entry 12:
VASP calculation (PBE) on crystalline PrCS at its relaxed geometry.

The structure in POSCAR format:
```
PrCS
1.0
-0.334 -3.688 2.371
0.894 -0.471 -4.684
6.909 0.209 1.297
S C Pr
2 2 2
direct
0.155 0.311 0.650
0.845 0.689 0.350
0.574 0.147 0.987
0.426 0.853 0.013
0.835 0.670 0.762
0.165 0.330 0.238
```

Calculated values
The energy above the most stable polymorph in this dataset comes out at 0 meV per atom. As for the uncorrected energy: -7.01 eV per atom. The value obtained for the uncorrected formation energy is -0.9673 eV/atom. The space group is No. 12.